# Y2CoOs (GGA-PBE, relaxed)
data_Y2CoOs
_chemical_formula_sum 'Y4 Co2 Os2'
_cell_length_a 4.059
_cell_length_b 4.258
_cell_length_c 10.132
_cell_angle_alpha 90.00
_cell_angle_beta 90.00
_cell_angle_gamma 90.00
_space_group_name_H-M_alt 'A m m 2'
_space_group_IT_number 38
_space_group_name_Hall 'A 2 -2'
loop_
_atom_site_label
_atom_site_fract_x
_atom_site_fract_y
_atom_site_fract_z
Y1 0.000 0.000 0.000
Y2 0.500 0.000 0.292
Co1 0.000 0.000 0.701
Os1 0.500 0.000 0.593
# size of the total moment	0.7	μB per formula unit
# E_form	-0.19	eV per atom
# VASP energy	-64.04	eV for the cell shown